(1)
## Li3Cd3Ag (PBE)

Data for Li3Cd3Ag after structural relaxation.

Calculated values
Total energy (eV per cell): -50.0
Calculated volume (Å³ per atom): 18.9
Energy relative to the lowest polymorph listed for this composition (eV/f.u.): 0.00
ΔE_f (meV per atom): -168

The structure in CIF format:
```
data_Li3Cd3Ag
_space_group_name_H-M_alt 'C 1 2/m 1'
_space_group_IT_number 12
_cell_length_a 5.939
_cell_length_b 9.495
_cell_length_c 9.385
_cell_angle_alpha 90.00
_cell_angle_beta 90.00
_cell_angle_gamma 90.00
loop_
_space_group_symop_operation_xyz
'x,y,z'
'-x,-y,-z'
'-x,y,-z'
'x,-y,z'
'x+1/2,y+1/2,z'
'-x+1/2,-y+1/2,-z'
'-x+1/2,y+1/2,-z'
'x+1/2,-y+1/2,z'
loop_
_atom_site_label
_atom_site_fract_x
_atom_site_fract_y
_atom_site_fract_z
Li1 0.219 0.000 0.002
Li2 0.249 0.249 0.750
Cd1 0.000 0.276 0.000
Cd2 0.000 0.330 0.500
Cd3 0.002 0.000 0.334
Ag1 0.002 0.500 0.240
```



(2)
## Ho12MgNi6 (PBE)

Data for Ho12MgNi6 after structural relaxation.

Calculated values
Total energy (eV per cell): -194.0
Calculated volume (Å³ per atom): 24.0
Energy relative to the lowest polymorph listed for this composition (eV/f.u.): 0.00
ΔE_f (meV per atom): -305

The structure in CIF format:
```
data_Ho12MgNi6
_space_group_name_H-M_alt 'I m -3'
_space_group_IT_number 204
_space_group_name_Hall '-I 2 2 3'
_cell_length_a 9.692
_cell_length_b 9.692
_cell_length_c 9.692
_cell_angle_alpha 90.00
_cell_angle_beta 90.00
_cell_angle_gamma 90.00
loop_
_atom_site_label
_atom_site_fract_x
_atom_site_fract_y
_atom_site_fract_z
Ho1 0.000 0.187 0.305
Mg1 0.000 0.000 0.000
Ni1 0.000 0.377 0.500
```



(3)
## CaCe3Th2N6 (PBE)

Data for CaCe3Th2N6 after structural relaxation.

Calculated values
Total energy (eV per cell): -204.4
Calculated volume (Å³ per atom): 16.5
E_form (uncorrected) (kJ/mol of atoms): -141.5

The structure in CIF format:
```
data_CaCe3Th2N6
_space_group_name_H-M_alt 'C 1 2/m 1'
_space_group_IT_number 12
_cell_length_a 15.659
_cell_length_b 3.607
_cell_length_c 7.205
_cell_angle_alpha 90.00
_cell_angle_beta 103.37
_cell_angle_gamma 90.00
loop_
_space_group_symop_operation_xyz
'x,y,z'
'-x,-y,-z'
'-x,y,-z'
'x,-y,z'
'x+1/2,y+1/2,z'
'-x+1/2,-y+1/2,-z'
'-x+1/2,y+1/2,-z'
'x+1/2,-y+1/2,z'
loop_
_atom_site_label
_atom_site_fract_x
_atom_site_fract_y
_atom_site_fract_z
Ca1 0.000 0.000 0.000
Ce1 0.000 0.000 0.500
Ce2 0.163 0.500 0.834
Th1 0.165 0.500 0.330
N1 0.000 0.500 0.264
N2 0.165 0.000 0.583
N3 0.168 0.000 0.082
```



(4)
## Th8FeTe4Pt3 (PBE)

Data for Th8FeTe4Pt3 after structural relaxation.

Calculated values
Total energy (eV per cell): -230.2
Calculated volume (Å³ per atom): 29.5
E_form (uncorrected) (kJ/mol of atoms): -100.1

The structure in CIF format:
```
data_Th8FeTe4Pt3
_space_group_name_H-M_alt 'C 1 2/m 1'
_space_group_IT_number 12
_cell_length_a 14.823
_cell_length_b 8.318
_cell_length_c 9.106
_cell_angle_alpha 90.00
_cell_angle_beta 122.87
_cell_angle_gamma 90.00
loop_
_space_group_symop_operation_xyz
'x,y,z'
'-x,-y,-z'
'-x,y,-z'
'x,-y,z'
'x+1/2,y+1/2,z'
'-x+1/2,-y+1/2,-z'
'-x+1/2,y+1/2,-z'
'x+1/2,-y+1/2,z'
loop_
_atom_site_label
_atom_site_fract_x
_atom_site_fract_y
_atom_site_fract_z
Th1 0.010 0.237 0.299
Th2 0.230 0.000 0.704
Th3 0.237 0.500 0.708
Fe1 0.000 0.000 0.500
Te1 0.000 0.000 0.000
Te2 0.000 0.500 0.000
Te3 0.250 0.250 0.000
Pt1 0.000 0.500 0.500
Pt2 0.250 0.250 0.500
```



(5)
## BaNaSmI6 (PBE)

Data for BaNaSmI6 after structural relaxation.

Calculated values
Total energy (eV per cell): -61.1
Calculated volume (Å³ per atom): 47.6
E_form (uncorrected) (kJ/mol of atoms): -142.5

The structure in CIF format:
```
data_BaNaSmI6
_space_group_name_H-M_alt 'P -3 1 c'
_space_group_IT_number 163
_space_group_name_Hall '-P 3 2c'
_cell_length_a 8.1468
_cell_length_b 8.1468
_cell_length_c 14.9111
_cell_angle_alpha 90.00
_cell_angle_beta 90.00
_cell_angle_gamma 120.00
loop_
_atom_site_label
_atom_site_fract_x
_atom_site_fract_y
_atom_site_fract_z
Ba1 0.0000 0.0000 0.0000
Na1 0.3333 0.6667 0.2500
Sm1 0.3333 0.6667 0.7500
I1 0.0129 0.3636 0.6304
```



(6)
## TaTiZn4 (PBE)

Data for TaTiZn4 after structural relaxation.

Calculated values
Total energy (eV per cell): -101.4
Calculated volume (Å³ per atom): 15.0
Energy relative to the lowest polymorph listed for this composition (eV/f.u.): 0.00
ΔE_f (meV per atom): -85

The structure in CIF format:
```
data_TaTiZn4
_space_group_name_H-M_alt 'F -4 3 m'
_space_group_IT_number 216
_space_group_name_Hall 'F -4 2 3'
_cell_length_a 7.115
_cell_length_b 7.115
_cell_length_c 7.115
_cell_angle_alpha 90.00
_cell_angle_beta 90.00
_cell_angle_gamma 90.00
loop_
_atom_site_label
_atom_site_fract_x
_atom_site_fract_y
_atom_site_fract_z
Ta1 0.000 0.000 0.000
Ti1 0.250 0.250 0.250
Zn1 0.125 0.125 0.625
```